Material: AlFeReAu
Method: DFT, GGA-PBE
State: optimized geometry

Lattice parameters (Å, degrees): 6.183 6.183 6.183 90.00 90.00 90.00
Space group F-43m (No. 216)
Unique sites:
Al1 0.000 0.000 0.000
Fe1 0.250 0.250 0.250
Re1 0.250 0.250 0.750
Au1 0.000 0.000 0.500

mass density = 13.09 g cm⁻³
offset from the most stable computed form = 0.040 eV per atom
calculated total energy = -105.41 eV for the cell shown


Material: Lu3Sc3FeBi2
Method: DFT, GGA-PBE
State: optimized geometry

Lattice parameters (Å, degrees): 7.9048 7.9048 4.0852 90.00 90.00 120.00
Space group P-62m (No. 189)
Unique sites:
Lu1 0.0000 0.3807 0.0000
Sc1 0.0000 0.7767 0.5000
Fe1 0.0000 0.0000 0.0000
Bi1 0.3333 0.6667 0.5000

mass density = 8.51 g cm⁻³
offset from the most stable computed form = 0.000 eV per atom
calculated total energy = -53.12 eV for the cell shown


Material: GdSO4F
Method: DFT, GGA-PBE
State: optimized geometry

Lattice parameters (Å, degrees): 8.354 6.949 6.385 90.00 90.00 90.00
Space group Pnma (No. 62)
Unique sites:
Gd1 0.054 0.250 0.149
S1 0.092 0.750 0.314
O1 0.021 0.250 0.512
O2 0.060 0.582 0.173
O3 0.241 0.250 0.879
F1 0.207 0.750 0.800

mass density = 4.88 g cm⁻³
calculated total energy = -192.75 eV for the cell shown


Material: DyEr2Cd3Ag3
Method: DFT, GGA-PBE
State: optimized geometry

Lattice parameters (Å, degrees): 3.888 13.562 7.817 90.00 90.00 90.00
Space group Amm2 (No. 38)
Unique sites:
Dy1 0.000 0.000 0.000
Er1 0.000 0.202 0.607
Cd1 0.500 0.000 0.668
Cd2 0.500 0.132 0.273
Ag1 0.000 0.000 0.405
Ag2 0.500 0.167 0.904

ΔE_f = -0.331 eV/atom
mass density = 9.33 g cm⁻³
calculated total energy = -55.74 eV for the cell shown


Material: Ba2Li3IrN4
Method: DFT, GGA-PBE
State: optimized geometry

Lattice parameters (Å, degrees): 10.824 5.802 10.807 90.00 118.91 90.00
Space group C2/c (No. 15)
Unique sites:
Ba1 0.153 0.203 0.108
Li1 0.000 0.386 0.250
Li2 0.175 0.310 0.541
Ir1 0.000 0.153 0.750
N1 0.072 0.349 0.659
N2 0.122 0.098 0.379

mass density = 6.08 g cm⁻³
calculated total energy = -217.45 eV for the cell shown


Material: Pr2Y2CI3Cl2
Method: DFT, GGA-PBE
State: optimized geometry

Lattice parameters (Å, degrees): 17.761 3.998 9.022 90.00 102.98 90.00
Space group C2/m (No. 12)
Unique sites:
Pr1 0.003 0.000 0.306
Y1 0.139 0.500 0.564
C1 0.000 0.500 0.500
I1 0.000 0.500 0.000
I2 0.180 0.000 0.825
Cl1 0.174 0.000 0.376

mass density = 4.91 g cm⁻³
offset from the most stable computed form = 0.005 eV per atom
calculated total energy = -106.93 eV for the cell shown


Material: YNiBPd
Method: DFT, GGA-PBE
State: optimized geometry

Lattice parameters (Å, degrees): 6.195 6.195 6.195 90.00 90.00 90.00
Space group F-43m (No. 216)
Unique sites:
Y1 0.000 0.000 0.000
Ni1 0.250 0.250 0.750
B1 0.000 0.000 0.500
Pd1 0.250 0.250 0.250

mass density = 7.40 g cm⁻³
offset from the most stable computed form = 0.107 eV per atom
calculated total energy = -92.84 eV for the cell shown


Material: Ni3As5Au
Method: DFT, GGA-PBE
State: optimized geometry

Lattice parameters (Å, degrees): 4.9480 4.9480 7.1965 90.00 90.00 120.00
Space group P6/mmm (No. 191)
Unique sites:
Ni1 0.0000 0.5000 0.0000
As1 0.0000 0.0000 0.0000
As2 0.3333 0.6667 0.2832
Au1 0.0000 0.0000 0.5000

mass density = 8.14 g cm⁻³
calculated total energy = -43.06 eV for the cell shown


Material: AcZnMo
Method: DFT, GGA-PBE
State: optimized geometry

Lattice parameters (Å, degrees): 7.133 7.133 7.133 90.00 90.00 90.00
Space group F-43m (No. 216)
Unique sites:
Ac1 0.000 0.000 0.000
Zn1 0.250 0.250 0.250
Mo1 0.250 0.250 0.750

ΔE_f = 1.329 eV/atom
mass density = 7.11 g cm⁻³
offset from the most stable computed form = 0.520 eV per atom
calculated total energy = -48.93 eV for the cell shown


Material: SmHgAs
Method: DFT, GGA-PBE
State: optimized geometry

Lattice parameters (Å, degrees): 7.047 7.047 7.047 90.00 90.00 90.00
Space group F-43m (No. 216)
Unique sites:
Sm1 0.000 0.000 0.000
Hg1 0.250 0.250 0.250
As1 0.250 0.250 0.750

mass density = 8.08 g cm⁻³
offset from the most stable computed form = 0.000 eV per atom
calculated total energy = -45.76 eV for the cell shown


Material: NaHfGaNi
Method: DFT, GGA-PBE
State: optimized geometry

Lattice parameters (Å, degrees): 6.521 6.521 6.521 90.00 90.00 90.00
Space group F-43m (No. 216)
Unique sites:
Na1 0.000 0.000 0.000
Hf1 0.000 0.000 0.500
Ga1 0.250 0.250 0.750
Ni1 0.250 0.250 0.250

mass density = 7.90 g cm⁻³
offset from the most stable computed form = 0.063 eV per atom
calculated total energy = -78.60 eV for the cell shown


Material: ZnCuAsPt
Method: DFT, GGA-PBE
State: optimized geometry

Lattice parameters (Å, degrees): 6.215 6.215 6.215 90.00 90.00 90.00
Space group F-43m (No. 216)
Unique sites:
Zn1 0.000 0.000 0.000
Cu1 0.250 0.250 0.750
As1 0.000 0.000 0.500
Pt1 0.250 0.250 0.250

mass density = 11.04 g cm⁻³
offset from the most stable computed form = 0.000 eV per atom
calculated total energy = -63.67 eV for the cell shown


Material: HoTmTa
Method: DFT, GGA-PBE
State: optimized geometry

Lattice parameters (Å, degrees): 7.023 7.023 7.023 90.00 90.00 90.00
Space group F-43m (No. 216)
Unique sites:
Ho1 0.000 0.000 0.000
Tm1 0.250 0.250 0.250
Ta1 0.000 0.000 0.500

ΔE_f = 1.279 eV/atom
mass density = 9.87 g cm⁻³
offset from the most stable computed form = 0.000 eV per atom
calculated total energy = -68.27 eV for the cell shown


Material: CdO2
Method: DFT, GGA-PBE
State: optimized geometry

Lattice parameters (Å, degrees): 6.421 6.421 6.421 90.00 90.00 90.00
Space group Fd-3m (No. 227, origin choice 2)
Unique sites:
Cd1 0.125 0.125 0.125
O1 0.000 0.000 0.500

mass density = 7.25 g cm⁻³
calculated total energy = -69.47 eV for the cell shown


Material: TlBW
Method: DFT, GGA-PBE
State: optimized geometry

Lattice parameters (Å, degrees): 6.096 6.096 6.096 90.00 90.00 90.00
Space group F-43m (No. 216)
Unique sites:
Tl1 0.000 0.000 0.000
B1 0.000 0.000 0.500
W1 0.250 0.250 0.750

mass density = 11.70 g cm⁻³
offset from the most stable computed form = 0.565 eV per atom
calculated total energy = -64.53 eV for the cell shown


Material: LaGeAu
Method: DFT, GGA-PBE
State: optimized geometry

Lattice parameters (Å, degrees): 8.1523 8.1523 3.8876 90.00 90.00 120.00
Space group P-62m (No. 189)
Unique sites:
La1 0.0000 0.2840 0.0000
Ge1 0.0000 0.0000 0.5000
Ge2 0.3333 0.6667 0.0000
Au1 0.0000 0.6248 0.5000

mass density = 9.09 g cm⁻³
calculated total energy = -42.77 eV for the cell shown


Material: CuMo3P5
Method: DFT, GGA-PBE
State: optimized geometry

Lattice parameters (Å, degrees): 5.5043 5.5043 5.7955 90.00 90.00 120.00
Space group P6/mmm (No. 191)
Unique sites:
Cu1 0.0000 0.0000 0.0000
Mo1 0.0000 0.5000 0.5000
P1 0.0000 0.0000 0.5000
P2 0.3333 0.6667 0.1821

mass density = 5.53 g cm⁻³
calculated total energy = -61.04 eV for the cell shown


Material: HoSi
Method: DFT, GGA-PBE
State: optimized geometry

Lattice parameters (Å, degrees): 5.776 5.776 5.776 90.00 90.00 90.00
Space group Fm-3m (No. 225)
Unique sites:
Ho1 0.000 0.000 0.000
Si1 0.000 0.000 0.500

mass density = 6.65 g cm⁻³
calculated total energy = -43.57 eV for the cell shown


Material: SmFe4B4
Method: DFT, GGA-PBE
State: optimized geometry

Lattice parameters (Å, degrees): 7.009 7.009 3.808 90.00 90.00 90.00
Space group P4_2/n (No. 86, origin choice 2)
Unique sites:
Sm1 0.250 0.250 0.250
Fe1 0.118 0.637 0.142
B1 0.049 0.916 0.144

mass density = 7.40 g cm⁻³
calculated total energy = -137.50 eV for the cell shown


Material: Cu2Ag3
Method: DFT, GGA-PBE
State: optimized geometry

Lattice parameters (Å, degrees): 22.903 2.867 4.782 90.00 96.82 90.00
Space group C2/m (No. 12)
Unique sites:
Cu1 0.048 0.000 0.349
Cu2 0.147 0.000 0.049
Ag1 0.049 0.500 0.851
Ag2 0.146 0.500 0.541
Ag3 0.247 0.500 0.245

ΔE_f = 0.094 eV/atom
mass density = 9.60 g cm⁻³
offset from the most stable computed form = 0.062 eV per atom
calculated total energy = -61.75 eV for the cell shown


Material: YNiPtPb
Method: DFT, GGA-PBE
State: optimized geometry

Lattice parameters (Å, degrees): 6.784 6.784 6.784 90.00 90.00 90.00
Space group F-43m (No. 216)
Unique sites:
Y1 0.000 0.000 0.000
Ni1 0.250 0.250 0.750
Pt1 0.250 0.250 0.250
Pb1 0.000 0.000 0.500

mass density = 11.70 g cm⁻³
calculated total energy = -94.91 eV for the cell shown


Material: TbDyZr2Sb2
Method: DFT, GGA-PBE
State: optimized geometry

Lattice parameters (Å, degrees): 4.274 4.274 16.670 90.00 90.00 90.00
Space group I4mm (No. 107)
Unique sites:
Tb1 0.000 0.000 0.000
Dy1 0.000 0.000 0.354
Zr1 0.000 0.500 0.177
Sb1 0.000 0.000 0.544
Sb2 0.000 0.000 0.810

mass density = 8.15 g cm⁻³
calculated total energy = -78.84 eV for the cell shown


Material: Lu2BeFe
Method: DFT, GGA-PBE
State: optimized geometry

Lattice parameters (Å, degrees): 6.444 6.444 6.444 90.00 90.00 90.00
Space group F-43m (No. 216)
Unique sites:
Lu1 0.000 0.000 0.000
Lu2 0.250 0.250 0.250
Be1 0.000 0.000 0.500
Fe1 0.250 0.250 0.750

mass density = 10.30 g cm⁻³
calculated total energy = -77.78 eV for the cell shown


Material: LaTcHN2
Method: DFT, GGA-PBE
State: optimized geometry

Lattice parameters (Å, degrees): 3.986 3.986 3.681 90.00 90.00 90.00
Space group P4/mmm (No. 123)
Unique sites:
La1 0.000 0.000 0.000
Tc1 0.500 0.500 0.500
H1 0.500 0.500 0.000
N1 0.000 0.500 0.500

mass density = 7.55 g cm⁻³
calculated total energy = -38.89 eV for the cell shown


Material: YBeNbFe
Method: DFT, GGA-PBE
State: optimized geometry

Lattice parameters (Å, degrees): 6.288 6.288 6.288 90.00 90.00 90.00
Space group F-43m (No. 216)
Unique sites:
Y1 0.000 0.000 0.000
Be1 0.250 0.250 0.250
Nb1 0.250 0.250 0.750
Fe1 0.000 0.000 0.500

mass density = 6.59 g cm⁻³
offset from the most stable computed form = 0.141 eV per atom
calculated total energy = -108.64 eV for the cell shown